Material: MnFeRu2
Method: DFT, PBE
State: relaxed

Cell and atoms, written as extended XYZ:
```
4
Lattice="3.9553 0.0000 0.0000 0.0000 1.3159 4.7342 0.0000 -1.3159 4.7342" Properties=species:S:1:pos:R:3 pbc="T T T"
Mn 0.0000 0.0000 0.0000
Fe 1.9776 0.0000 8.2947
Ru 0.0000 0.0000 2.5555
Ru 1.9776 0.0000 5.7476
```

- DFT formation energy: 0.074 eV/atom
- DOS(E_F): 4.958 states/eV/f.u.



Material: MnFeRu2
Method: DFT, PBE
State: relaxed

Cell and atoms, written as extended XYZ:
```
4
Lattice="0.0000 2.9999 2.9999 2.9999 0.0000 2.9999 2.9999 2.9999 0.0000" Properties=species:S:1:pos:R:3 pbc="T T T"
Mn 0.0000 0.0000 0.0000
Fe 1.5000 1.5000 1.5000
Ru 2.9999 2.9999 2.9999
Ru 4.4999 4.4999 4.4999
```

- DFT formation energy: 0.274 eV/atom
- DOS(E_F): 5.594 states/eV/f.u.



Material: MnFe2Ru
Method: DFT, PBE
State: relaxed

Cell and atoms, written as extended XYZ:
```
4
Lattice="2.5557 0.0000 0.0000 0.0000 4.0560 0.0000 -0.9422 0.0000 4.7804" Properties=species:S:1:pos:R:3 pbc="T T T"
Mn 0.0000 0.0000 0.0000
Fe -0.1170 2.0280 3.5501
Fe 0.7034 0.0000 2.4469
Ru 1.6159 2.0280 1.1498
```

- DFT formation energy: 0.156 eV/atom
- DOS(E_F): 4.308 states/eV/f.u.



| no. | magnetization (μB/atom) |
| --- | --- |
| 1 | 0.00 |
| 2 | 1.76 |
| 3 | 1.76 |